No. 1
# Mn5FeSi2Mo2 (PBE, optimized geometry)
data_Mn5FeSi2Mo2
_cell_length_a 8.6863
_cell_length_b 8.6863
_cell_length_c 3.3708
_cell_angle_alpha 90.00
_cell_angle_beta 90.00
_cell_angle_gamma 90.00
_space_group_name_H-M_alt 'P 4/m b m'
_space_group_IT_number 127
_space_group_name_Hall '-P 4 2ab'
loop_
_atom_site_label
_atom_site_type_symbol
_atom_site_fract_x
_atom_site_fract_y
_atom_site_fract_z
Mn1 Mn 0.0000 0.5000 0.0000
Mn2 Mn 0.0590 0.2010 0.0000
Fe1 Fe 0.0000 0.0000 0.5000
Si1 Si 0.1242 0.3758 0.5000
Mo1 Mo 0.1748 0.6748 0.5000
# Total magnetization, μB/f.u.: 9.67
# Formation energy without anion corrections, eV/atom: -0.05
# V, Å³/f.u.: 127.2
# N(E_F), states/eV per atom: 0.860

***

No. 2
# RePdOF2 (PBE, optimized geometry)
data_RePdOF2
_cell_length_a 4.2168
_cell_length_b 4.2168
_cell_length_c 3.7857
_cell_angle_alpha 90.00
_cell_angle_beta 90.00
_cell_angle_gamma 90.00
_space_group_name_H-M_alt 'P 4/m m m'
_space_group_IT_number 123
_space_group_name_Hall '-P 4 2'
loop_
_atom_site_label
_atom_site_type_symbol
_atom_site_fract_x
_atom_site_fract_y
_atom_site_fract_z
Re1 Re 0.0000 0.0000 0.0000
Pd1 Pd 0.5000 0.5000 0.5000
O1 O 0.0000 0.0000 0.5000
F1 F 0.0000 0.5000 0.0000
# Total magnetization, μB/f.u.: 0.60
# Formation energy without anion corrections, eV/atom: -0.63
# V, Å³/f.u.: 67.3
# N(E_F), states/eV per atom: 0.913

***

No. 3
# Be2WCl (PBE, optimized geometry)
data_Be2WCl
_cell_length_a 2.8038
_cell_length_b 4.5718
_cell_length_c 8.0529
_cell_angle_alpha 90.00
_cell_angle_beta 90.00
_cell_angle_gamma 90.00
_space_group_name_H-M_alt 'I m m 2'
_space_group_IT_number 44
_space_group_name_Hall 'I 2 -2'
loop_
_atom_site_label
_atom_site_type_symbol
_atom_site_fract_x
_atom_site_fract_y
_atom_site_fract_z
Be1 Be 0.0000 0.0000 0.0000
Be2 Be 0.0000 0.5000 0.2830
W1 W 0.0000 0.0000 0.5134
Cl1 Cl 0.0000 0.5000 0.7631
# Total magnetization, μB/f.u.: 0.00
# Formation energy without anion corrections, eV/atom: 0.71
# V, Å³/f.u.: 51.6
# N(E_F), states/eV per atom: 0.618

***

No. 4
# Cs3MgSn2I9 (PBE, optimized geometry)
data_Cs3MgSn2I9
_cell_length_a 8.7069
_cell_length_b 8.7069
_cell_length_c 10.6813
_cell_angle_alpha 90.00
_cell_angle_beta 90.00
_cell_angle_gamma 120.00
_space_group_name_H-M_alt 'P -3 m 1'
_space_group_IT_number 164
_space_group_name_Hall '-P 3 2"'
loop_
_atom_site_label
_atom_site_type_symbol
_atom_site_fract_x
_atom_site_fract_y
_atom_site_fract_z
Cs1 Cs 0.0000 0.0000 0.0000
Cs2 Cs 0.3333 0.6667 0.6588
Mg1 Mg 0.0000 0.0000 0.5000
Sn1 Sn 0.3333 0.6667 0.1731
I1 I 0.0000 0.5000 0.0000
I2 I 0.1600 0.3199 0.3410
# Total magnetization, μB/f.u.: 0.00
# Formation energy without anion corrections, eV/atom: -1.02
# V, Å³/f.u.: 701.3

***

No. 5
# VFe2Ag (PBE, optimized geometry)
data_VFe2Ag
_cell_length_a 6.0420
_cell_length_b 6.0420
_cell_length_c 6.0420
_cell_angle_alpha 90.00
_cell_angle_beta 90.00
_cell_angle_gamma 90.00
_space_group_name_H-M_alt 'F m -3 m'
_space_group_IT_number 225
_space_group_name_Hall '-F 4 2 3'
loop_
_atom_site_label
_atom_site_type_symbol
_atom_site_fract_x
_atom_site_fract_y
_atom_site_fract_z
V1 V 0.0000 0.0000 0.0000
Fe1 Fe 0.2500 0.2500 0.2500
Ag1 Ag 0.0000 0.0000 0.5000
# Total magnetization, μB/f.u.: 3.15
# V, Å³/f.u.: 55.1
# N(E_F), states/eV per atom: 1.291
# Energy of formation from the pure elements, kJ/mol of atoms: 31.5

***

No. 6
# Ca2As2Br (PBE, optimized geometry)
data_Ca2As2Br
_cell_length_a 5.5537
_cell_length_b 5.5537
_cell_length_c 9.2330
_cell_angle_alpha 90.00
_cell_angle_beta 90.00
_cell_angle_gamma 90.00
_space_group_name_H-M_alt 'I 4/m m m'
_space_group_IT_number 139
_space_group_name_Hall '-I 4 2'
loop_
_atom_site_label
_atom_site_type_symbol
_atom_site_fract_x
_atom_site_fract_y
_atom_site_fract_z
Ca1 Ca 0.0000 0.5000 0.2500
As1 As 0.0000 0.0000 0.1284
Br1 Br 0.0000 0.0000 0.5000
# Total magnetization, μB/f.u.: 0.00
# Formation energy without anion corrections, eV/atom: -1.00
# V, Å³/f.u.: 142.4
# N(E_F), states/eV per atom: 1.093

***

No. 7
# Na2RhAuF6 (PBE, optimized geometry)
data_Na2RhAuF6
_cell_length_a 8.7223
_cell_length_b 8.7223
_cell_length_c 8.7223
_cell_angle_alpha 90.00
_cell_angle_beta 90.00
_cell_angle_gamma 90.00
_space_group_name_H-M_alt 'F m -3 m'
_space_group_IT_number 225
_space_group_name_Hall '-F 4 2 3'
loop_
_atom_site_label
_atom_site_type_symbol
_atom_site_fract_x
_atom_site_fract_y
_atom_site_fract_z
Na1 Na 0.2500 0.2500 0.2500
Rh1 Rh 0.0000 0.0000 0.0000
Au1 Au 0.0000 0.0000 0.5000
F1 F 0.0000 0.0000 0.2323
# Total magnetization, μB/f.u.: 0.19
# Formation energy without anion corrections, eV/atom: -1.64
# V, Å³/f.u.: 165.9

***

No. 8
# Ba2Zn3Ag4 (PBE, optimized geometry)
data_Ba2Zn3Ag4
_cell_length_a 5.5538
_cell_length_b 10.7314
_cell_length_c 14.6186
_cell_angle_alpha 90.00
_cell_angle_beta 90.00
_cell_angle_gamma 90.00
_space_group_name_H-M_alt 'F m m m'
_space_group_IT_number 69
_space_group_name_Hall '-F 2 2'
loop_
_atom_site_label
_atom_site_type_symbol
_atom_site_fract_x
_atom_site_fract_y
_atom_site_fract_z
Ba1 Ba 0.0000 0.0000 0.1433
Zn1 Zn 0.0000 0.0000 0.5000
Zn2 Zn 0.2500 0.2500 0.0000
Ag1 Ag 0.0000 0.1923 0.3396
# Total magnetization, μB/f.u.: 0.00
# V, Å³/f.u.: 217.8
# N(E_F), states/eV per atom: 0.445
# Energy of formation from the pure elements, kJ/mol of atoms: -13.1

***

No. 9
# BeCdP (PBE, optimized geometry)
data_BeCdP
_cell_length_a 6.0693
_cell_length_b 6.0693
_cell_length_c 6.0693
_cell_angle_alpha 90.00
_cell_angle_beta 90.00
_cell_angle_gamma 90.00
_space_group_name_H-M_alt 'F -4 3 m'
_space_group_IT_number 216
_space_group_name_Hall 'F -4 2 3'
loop_
_atom_site_label
_atom_site_type_symbol
_atom_site_fract_x
_atom_site_fract_y
_atom_site_fract_z
Be1 Be 0.0000 0.0000 0.0000
Cd1 Cd 0.2500 0.2500 0.7500
P1 P 0.0000 0.0000 0.5000
# Total magnetization, μB/f.u.: 0.00
# V, Å³/f.u.: 55.9
# N(E_F), states/eV per atom: 0.708
# Energy of formation from the pure elements, kJ/mol of atoms: 67.4

***

No. 10
# PmIO4 (PBE, optimized geometry)
data_PmIO4
_cell_length_a 3.8256
_cell_length_b 6.8836
_cell_length_c 7.5545
_cell_angle_alpha 89.90
_cell_angle_beta 90.00
_cell_angle_gamma 89.96
_space_group_name_H-M_alt 'P -1'
_space_group_IT_number 2
_space_group_name_Hall '-P 1'
loop_
_atom_site_label
_atom_site_type_symbol
_atom_site_fract_x
_atom_site_fract_y
_atom_site_fract_z
Pm1 Pm 0.0929 0.2505 0.2500
I1 I 0.4041 0.2496 0.7500
O1 O 0.0875 0.2502 0.5644
O2 O 0.0875 0.2498 0.9356
O3 O 0.4083 0.9561 0.7502
O4 O 0.4090 0.5433 0.7499
# Total magnetization, μB/f.u.: 0.00
# Formation energy without anion corrections, eV/atom: -1.67
# V, Å³/f.u.: 99.5
# N(E_F), states/eV per atom: 0.000

***

No. 11
# DyY12Ho7 (PBE, optimized geometry)
data_DyY12Ho7
_cell_length_a 18.5811
_cell_length_b 18.5811
_cell_length_c 6.6998
_cell_angle_alpha 90.00
_cell_angle_beta 90.00
_cell_angle_gamma 120.00
_space_group_name_H-M_alt 'R -3'
_space_group_IT_number 148
_space_group_name_Hall '-R 3'
loop_
_atom_site_label
_atom_site_type_symbol
_atom_site_fract_x
_atom_site_fract_y
_atom_site_fract_z
Dy1 Dy 0.0000 0.0000 0.0000
Y1 Y 0.9996 0.2099 0.7088
Y2 Y 0.0074 0.4699 0.7379
Ho1 Ho 0.0000 0.0000 0.5000
Ho2 Ho 0.0094 0.8539 0.7871
# Total magnetization, μB/f.u.: 0.00
# V, Å³/f.u.: 667.8
# N(E_F), states/eV per atom: 1.501
# Energy of formation from the pure elements, kJ/mol of atoms: 32.3

***

No. 12
# Er3AgC (PBE, optimized geometry)
data_Er3AgC
_cell_length_a 8.7299
_cell_length_b 3.5781
_cell_length_c 14.3316
_cell_angle_alpha 90.00
_cell_angle_beta 90.00
_cell_angle_gamma 90.00
_space_group_name_H-M_alt 'P n m a'
_space_group_IT_number 62
_space_group_name_Hall '-P 2ac 2n'
loop_
_atom_site_label
_atom_site_type_symbol
_atom_site_fract_x
_atom_site_fract_y
_atom_site_fract_z
Er1 Er 0.0112 0.2500 0.1006
Er2 Er 0.1801 0.2500 0.5187
Er3 Er 0.2020 0.7500 0.3092
Ag1 Ag 0.0883 0.7500 0.6822
C1 C 0.1600 0.2500 0.9526
# Total magnetization, μB/f.u.: 0.00
# V, Å³/f.u.: 111.9
# N(E_F), states/eV per atom: 0.984
# Energy of formation from the pure elements, kJ/mol of atoms: -29.0